Computed, not measured: a relaxed structure of Tl10Te4Br at the GGA-PBE level of DFT.

a = 7.640 Å, b = 9.726 Å, c = 9.726 Å
α = 81.13°, β = 66.87°, γ = 66.87°
Sites, in units of the cell vectors:
Tl 0.120 0.316 0.911
Tl 0.031 0.089 0.316
Te 0.573 0.210 0.643
Tl 0.969 0.911 0.684
Tl 0.250 0.500 0.500
Te 0.427 0.790 0.357
Tl 0.880 0.684 0.089
Tl 0.564 0.089 0.316
Tl 0.750 0.500 0.500
Tl 0.346 0.684 0.089
Tl 0.436 0.911 0.684
Te 0.216 0.357 0.210
Te 0.784 0.643 0.790
Br 0.000 0.000 0.000
Tl 0.654 0.316 0.911

Output
Crystal system   tetragonal
Electronic total energy   -42.1 eV/cell
Volume   40.7 Å³ per atom
E_form (uncorrected)   -0.280 eV/atom

=====

Computed, not measured: a relaxed structure of PmTh2I6 at the GGA-PBE level of DFT.

a = 4.077 Å, b = 4.077 Å, c = 26.437 Å
α = 90.00°, β = 90.00°, γ = 120.00°
Sites, in units of the cell vectors:
Pm 0.333 0.667 0.000
I 0.333 0.667 0.764
I 0.667 0.333 0.080
I 0.333 0.667 0.597
I 0.667 0.333 0.920
I 0.333 0.667 0.236
Th 0.667 0.333 0.681
I 0.333 0.667 0.403
Th 0.667 0.333 0.319

Output
Crystal system   hexagonal
Electronic total energy   -39.0 eV/cell
Volume   42.3 Å³ per atom
E_form (uncorrected)   -1.122 eV/atom

=====

Computed, not measured: a relaxed structure of LaDyInRu at the GGA-PBE level of DFT.

a = 5.194 Å, b = 5.194 Å, c = 5.194 Å
α = 60.00°, β = 60.00°, γ = 60.00°
Sites, in units of the cell vectors:
In 0.750 0.750 0.750
Ru 0.250 0.250 0.250
Dy 0.500 0.500 0.500
La 0.000 0.000 0.000

Output
Crystal system   cubic
Energy of formation from the pure elements   -0.249 eV per atom
Electronic total energy   -22.5 eV/cell
Volume   24.8 Å³ per atom

=====

Computed, not measured: a relaxed structure of Rb2PmPrS4 at the GGA-PBE level of DFT.

a = 4.225 Å, b = 7.320 Å, c = 8.097 Å
α = 107.52°, β = 90.00°, γ = 90.00°
Sites, in units of the cell vectors:
S 0.000 0.271 0.803
S 0.500 0.236 0.198
S 0.500 0.764 0.802
Rb 0.000 0.500 0.500
Pm 0.500 0.500 0.000
S 0.000 0.729 0.197
Rb 0.500 0.000 0.500
Pr 0.000 0.000 0.000

Output
Crystal system   monoclinic
Electronic total energy   -42.6 eV/cell
Volume   29.9 Å³ per atom
E_form (uncorrected)   -1.825 eV/atom

=====

Computed, not measured: a relaxed structure of TbPaTe2O8 at the GGA-PBE level of DFT.

a = 6.267 Å, b = 6.267 Å, c = 6.267 Å
α = 109.32°, β = 109.32°, γ = 109.78°
Sites, in units of the cell vectors:
Te 0.750 0.250 0.500
O 0.352 0.046 0.305
O 0.898 0.714 0.184
Pa 0.000 0.000 0.000
O 0.286 0.470 0.184
O 0.954 0.648 0.695
O 0.530 0.714 0.816
O 0.954 0.259 0.305
O 0.741 0.046 0.695
Te 0.500 0.500 0.000
O 0.286 0.102 0.816
Tb 0.250 0.750 0.500

Output
Crystal system   tetragonal
Electronic total energy   -85.2 eV/cell
Volume   15.8 Å³ per atom
E_form (uncorrected)   -2.091 eV/atom

=====

Computed, not measured: a relaxed structure of Tb4Y4Th3 at the GGA-PBE level of DFT.

a = 3.568 Å, b = 5.729 Å, c = 18.091 Å
α = 99.11°, β = 101.39°, γ = 90.01°
Sites, in units of the cell vectors:
Th 0.264 0.632 0.263
Tb 0.302 0.902 0.804
Y 0.620 0.810 0.621
Th 0.000 0.000 0.000
Tb 0.060 0.280 0.560
Tb 0.698 0.098 0.196
Y 0.380 0.190 0.379
Y 0.593 0.546 0.092
Th 0.736 0.368 0.737
Y 0.407 0.454 0.908
Tb 0.940 0.720 0.440

Output
Crystal system   triclinic
Energy of formation from the pure elements   0.060 eV per atom
Electronic total energy   -66.0 eV/cell
Volume   32.5 Å³ per atom